No. 1
# NaCd7Hg4 PBE-GGA relaxed
# **Total moment**: 0.0 μB/f.u.
# **Crystal system**: monoclinic
# **SG**: C2/m (12)
data_NaCd7Hg4
_symmetry_space_group_name_H-M 'P 1'
_symmetry_Int_Tables_number 1
_cell_length_a 6.690
_cell_length_b 6.690
_cell_length_c 10.604
_cell_angle_alpha 118.74
_cell_angle_beta 118.74
_cell_angle_gamma 50.42
loop_
_symmetry_equiv_pos_as_xyz
'x,y,z'
loop_
_atom_site_label
_atom_site_fract_x
_atom_site_fract_y
_atom_site_fract_z
Na1 0.000 0.000 0.000
Cd1 0.095 0.095 0.441
Cd2 0.294 0.294 0.355
Cd3 0.305 0.305 0.091
Cd4 0.500 0.500 0.000
Cd5 0.695 0.695 0.909
Cd6 0.706 0.706 0.645
Cd7 0.905 0.905 0.559
Hg1 0.191 0.191 0.771
Hg2 0.409 0.409 0.678
Hg3 0.591 0.591 0.322
Hg4 0.809 0.809 0.229

---

No. 2
# Na3Cd2Hg PBE-GGA relaxed
# **Total moment**: 0.0 μB/f.u.
# **Crystal system**: orthorhombic
# **Distance to the lowest polymorph of the same formula**: 0 meV per atom
# **SG**: Pmc2_1 (26)
data_Na3Cd2Hg
_symmetry_space_group_name_H-M 'P 1'
_symmetry_Int_Tables_number 1
_cell_length_a 4.599
_cell_length_b 10.113
_cell_length_c 6.634
_cell_angle_alpha 90.00
_cell_angle_beta 90.00
_cell_angle_gamma 90.00
loop_
_symmetry_equiv_pos_as_xyz
'x,y,z'
loop_
_atom_site_label
_atom_site_fract_x
_atom_site_fract_y
_atom_site_fract_z
Na1 0.000 0.163 0.000
Na2 0.000 0.837 0.500
Na3 0.500 0.335 0.261
Na4 0.500 0.336 0.740
Na5 0.500 0.664 0.240
Na6 0.500 0.665 0.761
Cd1 0.000 0.150 0.500
Cd2 0.000 0.850 0.000
Cd3 0.500 0.000 0.249
Cd4 0.500 0.000 0.749
Hg1 0.000 0.498 0.001
Hg2 0.000 0.502 0.501

---

No. 3
# NaCd9Hg2 PBE-GGA relaxed
# **Total moment**: 0.0 μB/f.u.
# **Crystal system**: hexagonal
# **SG**: P6/mmm (191)
data_NaCd9Hg2
_symmetry_space_group_name_H-M 'P 1'
_symmetry_Int_Tables_number 1
_cell_length_a 9.771
_cell_length_b 9.771
_cell_length_c 3.447
_cell_angle_alpha 90.00
_cell_angle_beta 90.00
_cell_angle_gamma 120.00
loop_
_symmetry_equiv_pos_as_xyz
'x,y,z'
loop_
_atom_site_label
_atom_site_fract_x
_atom_site_fract_y
_atom_site_fract_z
Na1 0.000 0.000 0.000
Cd1 0.000 0.500 0.000
Cd2 0.174 0.349 0.500
Cd3 0.174 0.826 0.500
Cd4 0.349 0.174 0.500
Cd5 0.500 0.000 0.000
Cd6 0.500 0.500 0.000
Cd7 0.651 0.826 0.500
Cd8 0.826 0.174 0.500
Cd9 0.826 0.651 0.500
Hg1 0.333 0.667 0.000
Hg2 0.667 0.333 0.000

---

| no. | E_form (meV/atom) | D(E_F) (states/eV/cell) |
| --- | --- | --- |
| 1 | 30 | 3.87 |
| 2 | -124 | 3.74 |
| 3 | -8 | 3.72 |